Below is a geometry-optimized Dy4Si6Ir7 structure, with properties calculated at the PBE-GGA level.

Results
The total energy is -7.662 eV/atom. The value obtained for the energy relative to the elements, uncorrected is -98.0 kJ per mole of atoms. For the density of states at the Fermi level, the calculation gives 7.949 states/eV/f.u. The magnetic moment is 0.00 μB per atom.

CIF file:
```
data_Dy4Si6Ir7
_cell_length_a 8.288
_cell_length_b 8.288
_cell_length_c 8.288
_cell_angle_alpha 90.00
_cell_angle_beta 90.00
_cell_angle_gamma 90.00
_space_group_name_H-M_alt 'I m -3 m'
_space_group_IT_number 229
_space_group_name_Hall '-I 4 2 3'
loop_
_atom_site_label
_atom_site_type_symbol
_atom_site_fract_x
_atom_site_fract_y
_atom_site_fract_z
Dy1 Dy 0.250 0.250 0.250
Si1 Si 0.000 0.000 0.326
Ir1 Ir 0.000 0.000 0.000
Ir2 Ir 0.000 0.250 0.500
```